[1]
ErTlAg2: relaxed, GGA-PBE.

Output
Its space-group type is No. 123. The calculation puts the density of states at the Fermi level at 0.4595 states/eV per atom. Its formation energy is -159 meV/atom.

Cell: 3.7659 3.7659 6.5343 Å, 90.00 90.00 90.00°
Last column: nearest neighbours and their distance in Å.
Sites, in units of the cell vectors:
Tl 0.5000 0.5000 0.5000  8 Ag 3.19, 2 Er 3.27
Ag 0.0000 0.0000 0.7686  1 Ag 3.02, 4 Er 3.06, 4 Tl 3.19
Ag 0.0000 0.0000 0.2314  1 Ag 3.02, 4 Er 3.06, 4 Tl 3.19
Er 0.5000 0.5000 0.0000  8 Ag 3.06, 2 Tl 3.27

---

[2]
Er5Tl2Ag: relaxed, GGA-PBE.

Output
Its space-group type is No. 107. The calculation puts the density of states at the Fermi level at 1.2640 states/eV per atom. Its formation energy is -174 meV/atom.

Cell: 6.8739 6.8738 6.6143 Å, 121.30 121.30 89.99°
Last column: nearest neighbours and their distance in Å.
Sites, in units of the cell vectors:
Er 0.7220 0.2223 0.9444  2 Ag 3.30-3.32, 6 Er 3.31-3.44, 4 Tl 3.31
Er 0.2224 0.2224 0.9446  2 Ag 3.30-3.32, 4 Tl 3.31, 6 Er 3.31-3.44
Er 0.7221 0.7221 0.9444  2 Ag 3.30-3.32, 6 Er 3.31-3.44, 4 Tl 3.31
Er 0.2224 0.7220 0.9445  2 Ag 3.30-3.32, 4 Tl 3.31, 6 Er 3.31-3.44
Er 0.7226 0.7226 0.4452  8 Er 3.31, 4 Tl 3.44
Tl 0.2224 0.7224 0.4448  10 Er 3.31-3.44, 2 Ag 3.44
Tl 0.7224 0.2224 0.4448  10 Er 3.31-3.44, 2 Ag 3.44
Ag 0.2207 0.2207 0.4415  8 Er 3.30-3.32, 4 Tl 3.44

---

[3]
Er5Tl6Ag: relaxed, GGA-PBE.

Output
Its space-group type is No. 71. The calculation puts the density of states at the Fermi level at 0.5779 states/eV per atom. Its formation energy is -251 meV/atom.

Cell: 5.1775 7.5826 9.2150 Å, 114.30 106.32 90.00°
Last column: nearest neighbours and their distance in Å.
Sites, in units of the cell vectors:
Tl 0.1653 0.4156 0.3307  7 Er 3.21-3.47, 1 Ag 3.25
Tl 0.1653 0.9150 0.3307  7 Er 3.21-3.47, 1 Ag 3.25
Tl 0.5000 0.2538 0.0000  6 Er 3.11-3.31, 2 Ag 3.23
Tl 0.5000 0.7462 0.0000  6 Er 3.11-3.31, 2 Ag 3.23
Tl 0.8347 0.0850 0.6693  7 Er 3.21-3.47, 1 Ag 3.25
Tl 0.8347 0.5844 0.6693  7 Er 3.21-3.47, 1 Ag 3.25
Ag 0.0000 0.0000 0.0000  8 Tl 3.23-3.25, 4 Er 3.56
Er 0.3470 0.8470 0.6941  8 Tl 3.11-3.47
Er 0.6714 0.6714 0.3428  8 Tl 3.21-3.31
Er 0.0000 0.5000 0.0000  8 Tl 3.19-3.25
Er 0.3286 0.3286 0.6572  8 Tl 3.21-3.31
Er 0.6530 0.1530 0.3059  8 Tl 3.11-3.47

---

[4]
ErTlAg3: relaxed, GGA-PBE.

Output
Its space-group type is No. 65. The calculation puts the density of states at the Fermi level at 0.5061 states/eV per atom. Its formation energy is 6 meV/atom.

Cell: 3.3789 4.6917 14.5267 Å, 99.29 90.00 90.00°
Last column: nearest neighbours and their distance in Å.
Sites, in units of the cell vectors:
Er 0.5000 0.8195 0.6390  6 Ag 3.17, 4 Tl 3.29, 2 Er 3.38
Er 0.5000 0.1805 0.3610  6 Ag 3.17, 4 Tl 3.29, 2 Er 3.38
Tl 0.0000 0.6258 0.2516  5 Ag 2.84-3.15
Tl 0.0000 0.3742 0.7484  5 Ag 2.84-3.15
Ag 0.0000 0.0526 0.1051  5 Ag 2.90-3.01, 2 Tl 3.15
Ag 0.0000 0.9474 0.8949  5 Ag 2.90-3.01, 2 Tl 3.15
Ag 0.0000 0.2742 0.5484  2 Ag 2.73, 1 Tl 2.87
Ag 0.0000 0.7258 0.4516  2 Ag 2.73, 1 Tl 2.87
Ag 0.5000 0.4540 0.9080  5 Ag 2.64-2.90, 2 Tl 2.84
Ag 0.5000 0.5460 0.0920  5 Ag 2.64-2.90, 2 Tl 2.84

---

[5]
ErTl2Ag: relaxed, GGA-PBE.

Output
Its space-group type is No. 139. The calculation puts the density of states at the Fermi level at 0.5242 states/eV per atom. Its formation energy is -202 meV/atom.

Cell: 4.7301 4.7301 9.3280 Å, 104.69 104.69 90.00°
Last column: nearest neighbours and their distance in Å.
Sites, in units of the cell vectors:
Er 0.1314 0.1314 0.2627  4 Ag 3.14, 8 Tl 3.29-3.35
Er 0.8686 0.8686 0.7373  4 Ag 3.14, 8 Tl 3.29-3.35
Tl 0.0000 0.5000 0.0000  4 Er 3.29, 8 Tl 3.34-3.46
Tl 0.5000 0.0000 0.0000  4 Er 3.29, 8 Tl 3.34-3.46
Tl 0.3548 0.3548 0.7096  4 Ag 2.99
Tl 0.6452 0.6452 0.2904  4 Ag 2.99
Ag 0.2500 0.7500 0.5000  4 Tl 2.99, 4 Er 3.14, 4 Ag 3.34
Ag 0.7500 0.2500 0.5000  4 Tl 2.99, 4 Er 3.14, 4 Ag 3.34

---

[6]
Er6Tl3Ag: relaxed, GGA-PBE.

Output
Its space-group type is No. 11. The calculation puts the density of states at the Fermi level at 0.9234 states/eV per atom. Its formation energy is -230 meV/atom.

Cell: 5.2782 9.2916 11.5801 Å, 108.25 90.00 90.00°
Last column: nearest neighbours and their distance in Å.
Sites, in units of the cell vectors:
Er 0.2500 0.4621 0.0900  6 Tl 3.16-3.40, 2 Er 3.44-3.51
Er 0.7500 0.5379 0.9100  6 Tl 3.16-3.40, 2 Er 3.44-3.51
Er 0.2500 0.1336 0.1678  3 Tl 3.32-3.35, 8 Er 3.34-3.62
Er 0.7500 0.8664 0.8322  3 Tl 3.32-3.35, 8 Er 3.34-3.62
Er 0.2500 0.6682 0.6744  1 Ag 2.98, 5 Tl 3.15-3.33
Er 0.7500 0.3318 0.3256  1 Ag 2.98, 5 Tl 3.15-3.33
Er 0.2500 0.2323 0.4963  3 Ag 3.17-3.24, 4 Tl 3.18-3.46, 1 Er 3.51
Er 0.7500 0.7677 0.5037  3 Ag 3.17-3.24, 4 Tl 3.18-3.46, 1 Er 3.51
Er 0.2500 0.8501 0.3166  3 Ag 3.18-3.20, 3 Tl 3.35, 3 Er 3.51-3.55
Er 0.7500 0.1499 0.6834  3 Ag 3.18-3.20, 3 Tl 3.35, 3 Er 3.51-3.55
Er 0.2500 0.1008 0.8723  1 Ag 2.94, 3 Tl 3.04-3.19
Er 0.7500 0.8992 0.1277  1 Ag 2.94, 3 Tl 3.04-3.19
Tl 0.2500 0.5255 0.3855  8 Er 3.15-3.46
Tl 0.7500 0.4745 0.6145  8 Er 3.15-3.46
Tl 0.2500 0.3768 0.7840  8 Er 3.04-3.38
Tl 0.7500 0.6232 0.2160  8 Er 3.04-3.38
Tl 0.2500 0.7810 0.9717  9 Er 3.19-3.51
Tl 0.7500 0.2190 0.0283  9 Er 3.19-3.51
Ag 0.2500 0.9526 0.6077  8 Er 2.94-3.24
Ag 0.7500 0.0474 0.3923  8 Er 2.94-3.24

---

[7]
Er2TlAg: relaxed, GGA-PBE.

Output
Its space-group type is No. 225. The calculation puts the density of states at the Fermi level at 0.6506 states/eV per atom. Its formation energy is -335 meV/atom. The energy above the most stable polymorph in this dataset comes out at 0.00 eV per formula unit.

Cell: 5.2180 5.2180 5.2180 Å, 60.00 60.00 60.00°
Last column: nearest neighbours and their distance in Å.
Sites, in units of the cell vectors:
Tl 0.0000 0.0000 0.0000  8 Er 3.20
Ag 0.5000 0.5000 0.5000  8 Er 3.20
Er 0.7500 0.7500 0.7500  4 Tl 3.20, 4 Ag 3.20
Er 0.2500 0.2500 0.2500  4 Ag 3.20, 4 Tl 3.20

---

[8]
Er4TlAg5: relaxed, GGA-PBE.

Output
Its space-group type is No. 123. The calculation puts the density of states at the Fermi level at 0.6124 states/eV per atom. Its formation energy is -257 meV/atom.

Cell: 3.6334 3.6334 17.6417 Å, 90.00 90.00 90.00°
Last column: nearest neighbours and their distance in Å.
Sites, in units of the cell vectors:
Er 0.0000 0.0000 0.1942  8 Ag 3.04-3.13
Er 0.0000 0.0000 0.3976  8 Ag 3.14
Er 0.0000 0.0000 0.6024  8 Ag 3.14
Er 0.0000 0.0000 0.8058  8 Ag 3.04-3.13
Tl 0.0000 0.0000 0.0000  8 Ag 3.14, 2 Er 3.43
Ag 0.5000 0.5000 0.1026  4 Er 3.04, 4 Tl 3.14, 1 Ag 3.40
Ag 0.5000 0.5000 0.2950  8 Er 3.13-3.14, 1 Ag 3.40
Ag 0.5000 0.5000 0.5000  8 Er 3.14
Ag 0.5000 0.5000 0.7050  8 Er 3.13-3.14, 1 Ag 3.40
Ag 0.5000 0.5000 0.8974  4 Er 3.04, 4 Tl 3.14, 1 Ag 3.40

---

[9]
Er6Tl5Ag: relaxed, GGA-PBE.

Output
Its space-group type is No. 65. The calculation puts the density of states at the Fermi level at 0.8946 states/eV per atom. Its formation energy is -315 meV/atom. The energy above the most stable polymorph in this dataset comes out at 0.00 eV per formula unit.

Cell: 5.3114 7.4284 8.4073 Å, 90.00 71.59 90.00°
Last column: nearest neighbours and their distance in Å.
Sites, in units of the cell vectors:
Tl 0.6677 0.5000 0.6647  8 Er 3.26-3.28
Tl 0.3370 0.0000 0.3261  8 Er 3.17-3.31
Tl 0.0000 0.5000 0.0000  8 Er 3.23-3.26
Tl 0.6630 0.0000 0.6739  8 Er 3.17-3.31
Tl 0.3323 0.5000 0.3353  8 Er 3.26-3.28
Ag 0.0000 0.0000 0.0000  8 Er 3.19-3.22
Er 0.8360 0.7545 0.3280  1 Ag 3.19, 7 Tl 3.22-3.31
Er 0.8360 0.2455 0.3280  1 Ag 3.19, 7 Tl 3.22-3.31
Er 0.5000 0.2446 0.0000  6 Tl 3.17-3.28, 2 Ag 3.22
Er 0.5000 0.7554 0.0000  6 Tl 3.17-3.28, 2 Ag 3.22
Er 0.1640 0.7545 0.6720  1 Ag 3.19, 7 Tl 3.22-3.31
Er 0.1640 0.2455 0.6720  1 Ag 3.19, 7 Tl 3.22-3.31

---

[10]
Er2TlAg3: relaxed, GGA-PBE.

Output
Its space-group type is No. 44. The calculation puts the density of states at the Fermi level at 0.5137 states/eV per atom. Its formation energy is -132 meV/atom. The energy above the most stable polymorph in this dataset comes out at 0.63 eV per formula unit.

Cell: 4.0216 3.8608 9.9144 Å, 101.23 101.70 90.00°
Last column: nearest neighbours and their distance in Å.
Sites, in units of the cell vectors:
Er 0.1366 0.1366 0.2732  8 Ag 3.05-3.16
Er 0.8557 0.3557 0.7113  4 Ag 3.01, 4 Tl 3.33
Tl 0.4515 0.9515 0.9029  3 Ag 2.81-2.97
Ag 0.7022 0.7022 0.4044  3 Ag 2.68-2.73
Ag 0.5585 0.5585 0.1170  1 Ag 2.73, 2 Tl 2.81
Ag 0.2956 0.7956 0.5912  2 Ag 2.68, 1 Tl 2.97

---

[11]
ErTmTlAg: relaxed, GGA-PBE.

Output
Its space-group type is No. 216. The calculation puts the density of states at the Fermi level at 0.6179 states/eV per atom. Its formation energy is -332 meV/atom.

Cell: 5.2065 5.2065 5.2065 Å, 60.00 60.00 60.00°
Last column: nearest neighbours and their distance in Å.
Sites, in units of the cell vectors:
Tl 0.7500 0.7500 0.7500  4 Er 3.19, 4 Tm 3.19
Tm 0.5000 0.5000 0.5000  4 Tl 3.19, 4 Ag 3.19
Ag 0.2500 0.2500 0.2500  4 Er 3.19, 4 Tm 3.19
Er 0.0000 0.0000 0.0000  4 Tl 3.19, 4 Ag 3.19

---

[12]
ErZrTlAg: relaxed, GGA-PBE.

Output
Its space-group type is No. 216. The calculation puts the density of states at the Fermi level at 0.6388 states/eV per atom. Its formation energy is -129 meV/atom.

Cell: 5.0922 5.0922 5.0922 Å, 60.00 60.00 60.00°
Last column: nearest neighbours and their distance in Å.
Sites, in units of the cell vectors:
Tl 0.0000 0.0000 0.0000  4 Er 3.12, 4 Zr 3.12
Zr 0.2500 0.2500 0.2500  4 Tl 3.12, 4 Ag 3.12
Ag 0.5000 0.5000 0.5000  4 Zr 3.12, 4 Er 3.12
Er 0.7500 0.7500 0.7500  4 Tl 3.12, 4 Ag 3.12